Computed, not measured: an optimized crystal structure of ErLu2Fe at the PBE level of DFT.

Cell: 3.2903 3.2903 8.7460 Å, 90.00 90.00 90.00°
Last column: nearest neighbours and their distance in Å.
Fractional positions:
Er (0.0000, 0.0000, 0.0000)  4 Er 3.29, 8 Lu 3.64
Lu (0.5000, 0.5000, 0.3207)  4 Fe 2.81, 1 Lu 3.14
Lu (0.5000, 0.5000, 0.6793)  4 Fe 2.81, 1 Lu 3.14
Fe (0.0000, 0.0000, 0.5000)  8 Lu 2.81

Properties
VASP energy ... -21.96 eV/cell
Calculated formation energy ... 28 meV per atom